VASP calculation (PBE-GGA) on crystalline BeZn3Cr at its relaxed geometry.

Values from the calculation:
DFT formation energy = 2.5 eV/f.u.
M_tot = 4.12 μB/cell
Density of states at the Fermi level = 2.4 states/eV per cell
Distance to the lowest polymorph of the same formula = 0.00 eV per formula unit

Unit cell a=4.257 b=4.257 c=4.257 alpha=90.00 beta=90.00 gamma=90.00
Space group Pm-3m (No. 221)
Symmetry-distinct sites (fractional):
Be: 0.000 0.000 0.000
Zn: 0.000 0.000 0.500
Cr: 0.500 0.500 0.500